VASP calculation (GGA-PBE) on a relaxed structure of Er7Cd2Ga2.

As for the theoretical density: 8.18 g cm⁻³. As for the calculated total energy: -79.839 eV for the cell shown. The energy relative to the elements is -0.009 eV/atom.

The space group is Cmmm (No. 65) and the conventional cell measures 7.358, 10.623 and 7.973 Å, with angles of 90.00, 90.00 and 90.00 degrees. Symmetry generates all atoms from Er at (0.000, 0.000, 0.000), Er at (0.000, 0.500, 0.281), Er at (0.250, 0.250, 0.297), Cd at (0.000, 0.300, 0.000) and Ga at (0.172, 0.000, 0.500).